1.
# Na12Tl6Ga

Crystalline Na12Tl6Ga at its relaxed geometry (GGA-PBE, Alexandria via LeMat-Bulk).

Cell and atoms, written as CIF:
```
data_Na12Tl6Ga
_symmetry_space_group_name_H-M 'R -3'
_symmetry_Int_Tables_number 148
_symmetry_space_group_name_Hall '-R 3'
_cell_length_a 11.5824
_cell_length_b 11.5824
_cell_length_c 14.5884
_cell_angle_alpha 90.00
_cell_angle_beta 90.00
_cell_angle_gamma 120.00
loop_
_atom_site_label
_atom_site_fract_x
_atom_site_fract_y
_atom_site_fract_z
Na1 0.0398 0.8509 0.3167
Na2 0.0592 0.2195 0.9115
Tl1 0.0385 0.5961 0.2112
Ga1 0.0000 0.0000 0.5000
```

As for the final energy: -1.821 eV/atom. Its spin magnetization is 0.00 μB per formula unit.

2.
# PrSm2Pb3

Crystalline PrSm2Pb3 at its relaxed geometry (GGA-PBE, Alexandria via LeMat-Bulk).

Cell and atoms, written as CIF:
```
data_PrSm2Pb3
_symmetry_space_group_name_H-M 'C 1 2/c 1'
_symmetry_Int_Tables_number 15
_cell_length_a 9.5955
_cell_length_b 14.6992
_cell_length_c 5.9447
_cell_angle_alpha 90.00
_cell_angle_beta 115.99
_cell_angle_gamma 90.00
loop_
_symmetry_equiv_pos_as_xyz
'x,y,z'
'-x,-y,-z'
'-x,y,-z+1/2'
'x,-y,z+1/2'
'x+1/2,y+1/2,z'
'-x+1/2,-y+1/2,-z'
'-x+1/2,y+1/2,-z+1/2'
'x+1/2,-y+1/2,z+1/2'
loop_
_atom_site_label
_atom_site_fract_x
_atom_site_fract_y
_atom_site_fract_z
Pr1 0.0000 0.0822 0.2500
Sm1 0.0000 0.2483 0.7500
Sm2 0.0000 0.4161 0.2500
Pb1 0.2456 0.4151 0.0017
Pb2 0.2500 0.2500 0.5000
```

The value obtained for the energy relative to the lowest polymorph listed for this composition is 0.0 meV per atom. Its spin magnetization is 0.00 μB per formula unit.

3.
# LiMgAg3

Crystalline LiMgAg3 at its relaxed geometry (GGA-PBE, Alexandria via LeMat-Bulk).

Cell and atoms, written as CIF:
```
data_LiMgAg3
_symmetry_space_group_name_H-M 'P m m n'
_symmetry_Int_Tables_number 59
_cell_length_a 4.3558
_cell_length_b 5.6507
_cell_length_c 7.7296
_cell_angle_alpha 90.00
_cell_angle_beta 90.00
_cell_angle_gamma 90.00
loop_
_symmetry_equiv_pos_as_xyz
'x,y,z'
'-x,-y,-z'
'-x+1/2,-y+1/2,z'
'x+1/2,y+1/2,-z'
'x+1/2,-y,-z'
'-x+1/2,y,z'
'-x,y+1/2,-z'
'x,-y+1/2,z'
loop_
_atom_site_label
_atom_site_fract_x
_atom_site_fract_y
_atom_site_fract_z
Li1 0.2500 0.2500 0.1533
Mg1 0.2500 0.7500 0.4397
Ag1 0.2500 0.0050 0.7497
Ag2 0.2500 0.7500 0.0720
```

The value obtained for the energy relative to the lowest polymorph listed for this composition is 73.5 meV per atom. Its spin magnetization is 0.00 μB per formula unit.

4.
# Na5InPb

Crystalline Na5InPb at its relaxed geometry (GGA-PBE, Alexandria via LeMat-Bulk).

Cell and atoms, written as CIF:
```
data_Na5InPb
_symmetry_space_group_name_H-M 'I m m 2'
_symmetry_Int_Tables_number 44
_cell_length_a 8.1415
_cell_length_b 12.1481
_cell_length_c 6.1762
_cell_angle_alpha 90.00
_cell_angle_beta 90.00
_cell_angle_gamma 90.00
loop_
_symmetry_equiv_pos_as_xyz
'x,y,z'
'-x,-y,z'
'-x,y,z'
'x,-y,z'
'x+1/2,y+1/2,z+1/2'
'-x+1/2,-y+1/2,z+1/2'
'-x+1/2,y+1/2,z+1/2'
'x+1/2,-y+1/2,z+1/2'
loop_
_atom_site_label
_atom_site_fract_x
_atom_site_fract_y
_atom_site_fract_z
Na1 0.0000 0.0000 0.0000
Na2 0.0000 0.2502 0.4261
Na3 0.1780 0.5000 0.7831
In1 0.0000 0.5000 0.2724
Pb1 0.0000 0.0000 0.5243
```

The value obtained for the energy relative to the lowest polymorph listed for this composition is 249.0 meV per atom. Its spin magnetization is 0.00 μB per formula unit.

5.
# TbPuPaSn

Crystalline TbPuPaSn at its relaxed geometry (GGA-PBE, Alexandria via LeMat-Bulk).

Cell and atoms, written as CIF:
```
data_TbPuPaSn
_symmetry_space_group_name_H-M 'F -4 3 m'
_symmetry_Int_Tables_number 216
_symmetry_space_group_name_Hall 'F -4 2 3'
_cell_length_a 7.4380
_cell_length_b 7.4380
_cell_length_c 7.4380
_cell_angle_alpha 90.00
_cell_angle_beta 90.00
_cell_angle_gamma 90.00
loop_
_atom_site_label
_atom_site_fract_x
_atom_site_fract_y
_atom_site_fract_z
Tb1 0.0000 0.0000 0.0000
Pu1 0.0000 0.0000 0.5000
Pa1 0.2500 0.2500 0.7500
Sn1 0.2500 0.2500 0.2500
```

As for the final energy: -8.157 eV/atom. Its spin magnetization is 7.21 μB per formula unit.

6.
# Hf2CdMo

Crystalline Hf2CdMo at its relaxed geometry (GGA-PBE, Alexandria via LeMat-Bulk).

Cell and atoms, written as CIF:
```
data_Hf2CdMo
_symmetry_space_group_name_H-M 'R -3 m'
_symmetry_Int_Tables_number 166
_symmetry_space_group_name_Hall '-R 3 2"'
_cell_length_a 3.2423
_cell_length_b 3.2423
_cell_length_c 27.5383
_cell_angle_alpha 90.00
_cell_angle_beta 90.00
_cell_angle_gamma 120.00
loop_
_atom_site_label
_atom_site_fract_x
_atom_site_fract_y
_atom_site_fract_z
Hf1 0.0000 0.0000 0.2407
Cd1 0.0000 0.0000 0.0000
Mo1 0.0000 0.0000 0.5000
```

As for the final energy: -7.835 eV/atom. Its spin magnetization is 0.00 μB per formula unit.

7.
# Nb2Hg2Pt

Crystalline Nb2Hg2Pt at its relaxed geometry (GGA-PBE, Alexandria via LeMat-Bulk).

Cell and atoms, written as CIF:
```
data_Nb2Hg2Pt
_symmetry_space_group_name_H-M 'P 4/m b m'
_symmetry_Int_Tables_number 127
_symmetry_space_group_name_Hall '-P 4 2ab'
_cell_length_a 6.7072
_cell_length_b 6.7072
_cell_length_c 4.6868
_cell_angle_alpha 90.00
_cell_angle_beta 90.00
_cell_angle_gamma 90.00
loop_
_atom_site_label
_atom_site_fract_x
_atom_site_fract_y
_atom_site_fract_z
Nb1 0.1369 0.3631 0.0000
Hg1 0.1659 0.6659 0.5000
Pt1 0.0000 0.0000 0.0000
```

The value obtained for the energy relative to the lowest polymorph listed for this composition is 0.0 meV per atom. Its spin magnetization is 0.00 μB per formula unit.

8.
# AcHoAgSb

Crystalline AcHoAgSb at its relaxed geometry (GGA-PBE, Alexandria via LeMat-Bulk).

Cell and atoms, written as CIF:
```
data_AcHoAgSb
_symmetry_space_group_name_H-M 'F -4 3 m'
_symmetry_Int_Tables_number 216
_symmetry_space_group_name_Hall 'F -4 2 3'
_cell_length_a 7.7399
_cell_length_b 7.7399
_cell_length_c 7.7399
_cell_angle_alpha 90.00
_cell_angle_beta 90.00
_cell_angle_gamma 90.00
loop_
_atom_site_label
_atom_site_fract_x
_atom_site_fract_y
_atom_site_fract_z
Ac1 0.0000 0.0000 0.0000
Ho1 0.0000 0.0000 0.5000
Ag1 0.2500 0.2500 0.7500
Sb1 0.2500 0.2500 0.2500
```

For the uncorrected formation energy, the calculation gives -187 kJ/mol of formula units. Its spin magnetization is 0.56 μB per formula unit.

9.
# TiCrS3

Crystalline TiCrS3 at its relaxed geometry (GGA-PBE, Alexandria via LeMat-Bulk).

Cell and atoms, written as CIF:
```
data_TiCrS3
_symmetry_space_group_name_H-M 'P n m a'
_symmetry_Int_Tables_number 62
_cell_length_a 8.7172
_cell_length_b 3.3305
_cell_length_c 11.4587
_cell_angle_alpha 90.00
_cell_angle_beta 90.00
_cell_angle_gamma 90.00
loop_
_symmetry_equiv_pos_as_xyz
'x,y,z'
'-x,-y,-z'
'-x+1/2,-y,z+1/2'
'x+1/2,y,-z+1/2'
'x+1/2,-y+1/2,-z+1/2'
'-x+1/2,y+1/2,z+1/2'
'-x,y+1/2,-z'
'x,-y+1/2,z'
loop_
_atom_site_label
_atom_site_fract_x
_atom_site_fract_y
_atom_site_fract_z
Ti1 0.0271 0.2500 0.1191
Cr1 0.1196 0.2500 0.5298
S1 0.0145 0.7500 0.6372
S2 0.1728 0.2500 0.9389
S3 0.1962 0.7500 0.1841
```

The value obtained for the energy relative to the lowest polymorph listed for this composition is 182.8 meV per atom. For the uncorrected formation energy, the calculation gives -403 kJ/mol of formula units. Its spin magnetization is 1.39 μB per formula unit.

10.
# Dy2LuAu

Crystalline Dy2LuAu at its relaxed geometry (GGA-PBE, Alexandria via LeMat-Bulk).

Cell and atoms, written as CIF:
```
data_Dy2LuAu
_symmetry_space_group_name_H-M 'P 4/m m m'
_symmetry_Int_Tables_number 123
_symmetry_space_group_name_Hall '-P 4 2'
_cell_length_a 3.5900
_cell_length_b 3.5900
_cell_length_c 8.4314
_cell_angle_alpha 90.00
_cell_angle_beta 90.00
_cell_angle_gamma 90.00
loop_
_atom_site_label
_atom_site_fract_x
_atom_site_fract_y
_atom_site_fract_z
Dy1 0.0000 0.0000 0.2116
Lu1 0.5000 0.5000 0.5000
Au1 0.5000 0.5000 0.0000
```

The value obtained for the energy relative to the lowest polymorph listed for this composition is 0.0 meV per atom. Its spin magnetization is 0.00 μB per formula unit.

Number 1: ρ 4620 kg/m3. Number 2: ρ 9370 kg/m3. Number 3: ρ 6194 kg/m3. Number 4: ρ 2376 kg/m3. Number 5: ρ 12149 kg/m3. Number 6: ρ 11233 kg/m3. Number 7: ρ 12319 kg/m3. Number 8: ρ 8904 kg/m3. Number 9: ρ 3914 kg/m3. Number 10: ρ 10650 kg/m3.